This record from the Alexandria database describes a geometry-optimized TlCrSbTe2 structure. The functional is PBEsol.

Geometry as POSCAR:
```
TlCrSbTe2
1.0
5.6685 0.0000 0.0000
0.0000 5.6685 0.0000
0.0000 0.0000 5.5169
Tl Cr Sb Te
1 1 1 2
Direct
0.0000 0.0000 0.0000
0.5000 0.5000 0.5000
0.0000 0.0000 0.5000
0.0000 0.5000 0.0000
0.5000 0.0000 0.0000
```

Properties
Theoretical density ... 5.933 g/cm³
Magnetic moment ... 3.89 μB/f.u.
V ... 35.45 A^3/atom
Formation energy without anion corrections ... 27.43 kcal/mol of atoms

=====

This record from the Alexandria database describes a geometry-optimized LiYIn2 structure. The functional is PBEsol.

Geometry as POSCAR:
```
LiYIn2
1.0
-1.9021 2.4617 5.1647
1.9021 -2.4617 5.1647
1.9021 2.4617 -5.1647
Li Y In
1 1 2
Direct
0.0000 0.0000 0.0000
0.2657 0.7657 0.5000
0.5122 0.5122 0.0000
0.7330 0.2330 0.5000
```

Properties
Theoretical density ... 5.588 g/cm³
Magnetic moment ... 0.00 μB/f.u.
Raw total energy ... -3.981 eV per atom
V ... 24.18 A^3/atom

=====

This record from the Alexandria database describes a geometry-optimized RbCd3Rh structure. The functional is PBEsol.

Geometry as POSCAR:
```
RbCd3Rh
1.0
5.1929 0.0000 0.0000
0.0000 5.1929 0.0000
0.0000 0.0000 5.1929
Rb Cd Rh
1 3 1
Direct
0.0000 0.0000 0.0000
0.0000 0.5000 0.5000
0.5000 0.0000 0.5000
0.5000 0.5000 0.0000
0.5000 0.5000 0.5000
```

Properties
Theoretical density ... 6.233 g/cm³
Magnetic moment ... 0.00 μB/f.u.
Raw total energy ... -2.564 eV per atom
V ... 28.01 A^3/atom

=====

This record from the Alexandria database describes a geometry-optimized LiSi6Bi9O26 structure. The functional is PBEsol.

Geometry as POSCAR:
```
LiSi6Bi9O26
1.0
9.5672 0.0000 0.0000
-4.7836 8.2855 0.0000
0.0000 0.0000 6.9996
Li Si Bi O
1 6 9 26
Direct
0.0000 0.0000 0.0000
0.0429 0.3012 0.2868
0.0649 0.7096 0.7940
0.2583 0.9571 0.2868
0.2904 0.3553 0.7940
0.6447 0.9351 0.7940
0.6988 0.7417 0.2868
0.0000 0.0000 0.5472
0.3333 0.6667 0.0490
0.3333 0.6667 0.5398
0.4247 0.3213 0.2951
0.4332 0.0948 0.8012
0.6616 0.5668 0.8012
0.6787 0.1034 0.2951
0.8966 0.5753 0.2951
0.9052 0.3384 0.8012
0.0015 0.5791 0.9731
0.0183 0.5878 0.6072
0.0631 0.8606 0.2709
0.1394 0.2026 0.2709
0.1695 0.4969 0.2970
0.1728 0.1626 0.7926
0.1933 0.4578 0.8062
0.2645 0.8067 0.8062
0.3111 0.0778 0.4752
0.3274 0.8305 0.2970
0.3553 0.0908 0.1167
0.4122 0.4305 0.6072
0.4209 0.4225 0.9731
0.5031 0.6726 0.2970
0.5422 0.7355 0.8062
0.5695 0.9817 0.6072
0.5775 0.9985 0.9731
0.6667 0.3333 0.3318
0.6667 0.3333 0.8163
0.7355 0.6447 0.1167
0.7667 0.6889 0.4752
0.7974 0.9369 0.2709
0.8374 0.0102 0.7926
0.9092 0.2645 0.1167
0.9222 0.2334 0.4752
0.9898 0.8272 0.7926
```

Properties
Theoretical density ... 7.399 g/cm³
Magnetic moment ... 0.00 μB/f.u.
V ... 13.21 A^3/atom
Formation energy without anion corrections ... -45.54 kcal/mol of atoms

=====

This record from the Alexandria database describes a geometry-optimized Cr2InP structure. The functional is PBEsol.

Geometry as POSCAR:
```
Cr2InP
1.0
2.8908 -1.6061 0.0000
2.8908 1.6061 0.0000
-1.8133 0.0000 6.7364
Cr In P
2 1 1
Direct
0.2311 0.2311 0.1821
0.7689 0.7689 0.8179
0.0000 0.0000 0.5000
0.5000 0.5000 0.0000
```

Properties
Theoretical density ... 6.631 g/cm³
Magnetic moment ... 4.15 μB/f.u.
Raw total energy ... -7.249 eV per atom
V ... 15.64 A^3/atom

=====

This record from the Alexandria database describes a geometry-optimized BaTeIr structure. The functional is PBEsol.

Geometry as POSCAR:
```
BaTeIr
1.0
4.4794 0.0000 0.0000
-2.2397 3.8793 0.0000
0.0000 0.0000 4.8390
Ba Te Ir
1 1 1
Direct
0.0000 0.0000 0.0000
0.6667 0.3333 0.5000
0.3333 0.6667 0.5000
```

Properties
Theoretical density ... 9.028 g/cm³
Magnetic moment ... 0.00 μB/f.u.
V ... 28.03 A^3/atom
Formation energy without anion corrections ... -14.13 kcal/mol of atoms